# Pr4Sm8Y

Crystalline Pr4Sm8Y at its relaxed geometry (PBE, Alexandria).

Summary:
DOS at the Fermi energy (states/eV per cell): 61.70
Energy relative to the elements (eV per atom): 0.49

Unit cell a=11.2696 b=11.2696 c=13.5830 alpha=90.00 beta=90.00 gamma=120.00
Space group R-3m (No. 166, hexagonal axes)
Inequivalent atoms, fractional coordinates:
Pr (0.0000, 0.0000, 0.0000) (multiplicity 3)
Pr (0.0000, 0.5000, 0.0000) (multiplicity 9)
Sm (0.0000, 0.0000, 0.2379) (multiplicity 6)
Sm (0.0125, 0.5062, 0.7432) (multiplicity 18)
Y (0.0000, 0.0000, 0.5000) (multiplicity 3)


# AcPmCu

Crystalline AcPmCu at its relaxed geometry (PBE, Alexandria).

Summary:
DOS at the Fermi energy (states/eV per cell): 24.33
Energy relative to the elements (eV per atom): 0.15
Energy above the lowest structure with this stoichiometry (eV/atom): 0.194

Unit cell a=7.289 b=7.289 c=7.289 alpha=90.00 beta=90.00 gamma=90.00
Space group F-43m (No. 216)
Inequivalent atoms, fractional coordinates:
Ac (0.000, 0.000, 0.000) (multiplicity 4)
Pm (0.000, 0.000, 0.500) (multiplicity 4)
Cu (0.250, 0.250, 0.750) (multiplicity 4)


# SnHg2As2

Crystalline SnHg2As2 at its relaxed geometry (PBE, Alexandria).

Summary:
DOS at the Fermi energy (states/eV per cell): 4.54
Energy relative to the elements (eV per atom): 0.25
Energy above the lowest structure with this stoichiometry (eV/atom): 0.069

Unit cell a=8.497 b=8.497 c=3.323 alpha=90.00 beta=90.00 gamma=90.00
Space group P4/mbm (No. 127)
Inequivalent atoms, fractional coordinates:
Sn (0.000, 0.000, 0.000) (multiplicity 2)
Hg (0.120, 0.380, 0.500) (multiplicity 4)
As (0.192, 0.692, 0.000) (multiplicity 4)


# ZnIrBr

Crystalline ZnIrBr at its relaxed geometry (PBE, Alexandria).

Summary:
E_form (uncorrected) (eV per atom): 0.35
DOS at the Fermi energy (states/eV per cell): 3.89
Energy above the lowest structure with this stoichiometry (eV/atom): 0.000

Unit cell a=2.832 b=4.001 c=12.749 alpha=90.00 beta=90.00 gamma=90.00
Space group Imm2 (No. 44)
Inequivalent atoms, fractional coordinates:
Zn (0.000, 0.000, 0.000) (multiplicity 2)
Ir (0.000, 0.000, 0.558) (multiplicity 2)
Br (0.000, 0.000, 0.745) (multiplicity 2)


# Dy4Tm5

Crystalline Dy4Tm5 at its relaxed geometry (PBE, Alexandria).

Summary:
DOS at the Fermi energy (states/eV per cell): 24.70
Energy relative to the elements (eV per atom): 0.02
Energy above the lowest structure with this stoichiometry (eV/atom): 0.000

Unit cell a=11.623 b=10.521 c=4.947 alpha=90.00 beta=115.11 gamma=90.00
Space group C2/m (No. 12)
Inequivalent atoms, fractional coordinates:
Dy (0.167, 0.167, 0.167) (multiplicity 8)
Tm (0.000, 0.000, 0.500) (multiplicity 2)
Tm (0.000, 0.334, 0.500) (multiplicity 4)
Tm (0.166, 0.500, 0.166) (multiplicity 4)


# KMgZr2

Crystalline KMgZr2 at its relaxed geometry (PBE, Alexandria).

Summary:
DOS at the Fermi energy (states/eV per cell): 17.69
Energy relative to the elements (eV per atom): 0.47

Unit cell a=3.1308 b=3.1308 c=37.3660 alpha=90.00 beta=90.00 gamma=120.00
Space group R-3m (No. 166, hexagonal axes)
Inequivalent atoms, fractional coordinates:
K (0.0000, 0.0000, 0.0000) (multiplicity 3)
Mg (0.0000, 0.0000, 0.5000) (multiplicity 3)
Zr (0.0000, 0.0000, 0.2390) (multiplicity 6)


# SrLi4CdAu2

Crystalline SrLi4CdAu2 at its relaxed geometry (PBE, Alexandria).

Summary:
DOS at the Fermi energy (states/eV per cell): 8.22
Energy relative to the elements (eV per atom): -0.38

Unit cell a=4.5330 b=4.5330 c=26.8414 alpha=90.00 beta=90.00 gamma=120.00
Space group R-3m (No. 166, hexagonal axes)
Inequivalent atoms, fractional coordinates:
Sr (0.0000, 0.0000, 0.0000) (multiplicity 3)
Li (0.0000, 0.0000, 0.1310) (multiplicity 6)
Li (0.0000, 0.0000, 0.4027) (multiplicity 6)
Cd (0.0000, 0.0000, 0.5000) (multiplicity 3)
Au (0.0000, 0.0000, 0.2430) (multiplicity 6)


# ReNi4Mo

Crystalline ReNi4Mo at its relaxed geometry (PBE, Alexandria).

Summary:
DOS at the Fermi energy (states/eV per cell): 4.14
Energy relative to the elements (eV per atom): -0.06
Energy above the lowest structure with this stoichiometry (eV/atom): 0.000

Unit cell a=2.611 b=3.687 c=7.650 alpha=90.00 beta=90.00 gamma=90.00
Space group Pmmm (No. 47)
Inequivalent atoms, fractional coordinates:
Re (0.000, 0.000, 0.000) (multiplicity 1)
Ni (0.000, 0.000, 0.330) (multiplicity 2)
Ni (0.500, 0.500, 0.165) (multiplicity 2)
Mo (0.500, 0.500, 0.500) (multiplicity 1)


# ZrTeP2

Crystalline ZrTeP2 at its relaxed geometry (PBE, Alexandria).

Summary:
E_form (uncorrected) (eV per atom): -0.11
DOS at the Fermi energy (states/eV per cell): 1.27
Energy above the lowest structure with this stoichiometry (eV/atom): 0.480

Unit cell a=3.714 b=3.890 c=5.671 alpha=90.00 beta=90.00 gamma=90.00
Space group Pmmm (No. 47)
Inequivalent atoms, fractional coordinates:
Zr (0.000, 0.000, 0.000) (multiplicity 1)
Te (0.000, 0.500, 0.500) (multiplicity 1)
P (0.500, 0.000, 0.500) (multiplicity 1)
P (0.500, 0.500, 0.000) (multiplicity 1)


# PmYZnSi

Crystalline PmYZnSi at its relaxed geometry (PBE, Alexandria).

Summary:
E_form (uncorrected) (eV per atom): -0.56
DOS at the Fermi energy (states/eV per cell): 8.34
Energy above the lowest structure with this stoichiometry (eV/atom): 0.000

Unit cell a=4.083 b=4.228 c=11.074 alpha=90.00 beta=90.00 gamma=90.00
Space group Amm2 (No. 38)
Inequivalent atoms, fractional coordinates:
Pm (0.000, 0.000, 0.000) (multiplicity 2)
Y (0.500, 0.000, 0.716) (multiplicity 2)
Zn (0.500, 0.000, 0.422) (multiplicity 2)
Si (0.000, 0.000, 0.282) (multiplicity 2)


# K3Dy3CrS8

Crystalline K3Dy3CrS8 at its relaxed geometry (PBE, Alexandria).

Summary:
E_form (uncorrected) (eV per atom): -1.54
DOS at the Fermi energy (states/eV per cell): 23.62

Unit cell a=7.7988 b=7.7988 c=22.6127 alpha=90.00 beta=90.00 gamma=120.00
Space group R-3m (No. 166, hexagonal axes)
Inequivalent atoms, fractional coordinates:
K (0.0000, 0.5000, 0.0000) (multiplicity 9)
Dy (0.0000, 0.5000, 0.5000) (multiplicity 9)
Cr (0.0000, 0.0000, 0.5000) (multiplicity 3)
S (0.0000, 0.0000, 0.2346) (multiplicity 6)
S (0.0317, 0.5159, 0.2285) (multiplicity 18)


# LaNdMgNi

Crystalline LaNdMgNi at its relaxed geometry (PBE, Alexandria).

Summary:
DOS at the Fermi energy (states/eV per cell): 16.20
Energy relative to the elements (eV per atom): -0.03

Unit cell a=7.455 b=7.455 c=7.455 alpha=90.00 beta=90.00 gamma=90.00
Space group F-43m (No. 216)
Inequivalent atoms, fractional coordinates:
La (0.000, 0.000, 0.000) (multiplicity 4)
Nd (0.000, 0.000, 0.500) (multiplicity 4)
Mg (0.250, 0.250, 0.750) (multiplicity 4)
Ni (0.250, 0.250, 0.250) (multiplicity 4)


# Mg2AgSb

Crystalline Mg2AgSb at its relaxed geometry (PBE, Alexandria).

Summary:
E_form (uncorrected) (eV per atom): -0.15
DOS at the Fermi energy (states/eV per cell): 1.75
Energy above the lowest structure with this stoichiometry (eV/atom): 0.038

Unit cell a=6.418 b=8.258 c=3.249 alpha=90.00 beta=90.16 gamma=90.00
Space group C2/m (No. 12)
Inequivalent atoms, fractional coordinates:
Mg (0.250, 0.250, 0.000) (multiplicity 4)
Ag (0.000, 0.000, 0.500) (multiplicity 2)
Sb (0.000, 0.500, 0.500) (multiplicity 2)


# Zr2AgHgH

Crystalline Zr2AgHgH at its relaxed geometry (PBE, Alexandria).

Summary:
DOS at the Fermi energy (states/eV per cell): 5.28
Energy above the lowest structure with this stoichiometry (eV/atom): 0.727

Unit cell a=5.493 b=5.493 c=3.295 alpha=90.00 beta=90.00 gamma=90.00
Space group P4/mmm (No. 123)
Inequivalent atoms, fractional coordinates:
Zr (0.000, 0.500, 0.000) (multiplicity 2)
Ag (0.000, 0.000, 0.000) (multiplicity 1)
Hg (0.500, 0.500, 0.500) (multiplicity 1)
H (0.000, 0.000, 0.500) (multiplicity 1)


# CsIn6Hg

Crystalline CsIn6Hg at its relaxed geometry (PBE, Alexandria).

Summary:
DOS at the Fermi energy (states/eV per cell): 16.79
Energy relative to the elements (eV per atom): -0.05
Energy above the lowest structure with this stoichiometry (eV/atom): 0.037

Unit cell a=5.3221 b=5.3221 c=32.6310 alpha=90.00 beta=90.00 gamma=120.00
Space group R-3m (No. 166, hexagonal axes)
Inequivalent atoms, fractional coordinates:
Cs (0.0000, 0.0000, 0.0000) (multiplicity 3)
In (0.0000, 0.0000, 0.1347) (multiplicity 6)
In (0.0000, 0.0000, 0.2354) (multiplicity 6)
In (0.0000, 0.0000, 0.4099) (multiplicity 6)
Hg (0.0000, 0.0000, 0.5000) (multiplicity 3)


# Na2PbI

Crystalline Na2PbI at its relaxed geometry (PBE, Alexandria).

Summary:
E_form (uncorrected) (eV per atom): -0.52
DOS at the Fermi energy (states/eV per cell): 1.90
Energy above the lowest structure with this stoichiometry (eV/atom): 0.000

Unit cell a=3.871 b=3.871 c=8.345 alpha=90.00 beta=90.00 gamma=90.00
Space group P4/mmm (No. 123)
Inequivalent atoms, fractional coordinates:
Na (0.000, 0.000, 0.233) (multiplicity 2)
Pb (0.500, 0.500, 0.500) (multiplicity 1)
I (0.500, 0.500, 0.000) (multiplicity 1)


# DyErZnRh

Crystalline DyErZnRh at its relaxed geometry (PBE, Alexandria).

Summary:
DOS at the Fermi energy (states/eV per cell): 9.06
Energy relative to the elements (eV per atom): -0.62

Unit cell a=6.946 b=6.946 c=6.946 alpha=90.00 beta=90.00 gamma=90.00
Space group F-43m (No. 216)
Inequivalent atoms, fractional coordinates:
Dy (0.000, 0.000, 0.000) (multiplicity 4)
Er (0.000, 0.000, 0.500) (multiplicity 4)
Zn (0.250, 0.250, 0.250) (multiplicity 4)
Rh (0.250, 0.250, 0.750) (multiplicity 4)


# BeOF2

Crystalline BeOF2 at its relaxed geometry (PBE, Alexandria).

Summary:
E_form (uncorrected) (eV per atom): -1.57
DOS at the Fermi energy (states/eV per cell): 2.15
Energy above the lowest structure with this stoichiometry (eV/atom): 0.126

Unit cell a=2.5739 b=2.5739 c=23.0735 alpha=90.00 beta=90.00 gamma=120.00
Space group R-3m (No. 166, hexagonal axes)
Inequivalent atoms, fractional coordinates:
Be (0.0000, 0.0000, 0.0000) (multiplicity 3)
O (0.0000, 0.0000, 0.5000) (multiplicity 3)
F (0.0000, 0.0000, 0.3728) (multiplicity 6)


# Dy2Y2Tm7

Crystalline Dy2Y2Tm7 at its relaxed geometry (PBE, Alexandria).

Summary:
DOS at the Fermi energy (states/eV per cell): 36.92
Energy relative to the elements (eV per atom): 0.16
Energy above the lowest structure with this stoichiometry (eV/atom): 0.138

Unit cell a=11.091 b=11.376 c=5.999 alpha=90.00 beta=113.87 gamma=90.00
Space group C2/m (No. 12)
Inequivalent atoms, fractional coordinates:
Dy (0.092, 0.000, 0.306) (multiplicity 4)
Y (0.000, 0.287, 0.000) (multiplicity 4)
Tm (0.000, 0.500, 0.500) (multiplicity 2)
Tm (0.174, 0.263, 0.676) (multiplicity 8)
Tm (0.234, 0.500, 0.079) (multiplicity 4)


# Tb6Sb3C

Crystalline Tb6Sb3C at its relaxed geometry (PBE, Alexandria).

Summary:
E_form (uncorrected) (eV per atom): -0.60
DOS at the Fermi energy (states/eV per cell): 34.90

Unit cell a=11.938 b=14.205 c=7.131 alpha=90.00 beta=90.00 gamma=90.00
Space group Cmc2_1 (No. 36)
Inequivalent atoms, fractional coordinates:
Tb (0.000, 0.044, 0.000) (multiplicity 4)
Tb (0.000, 0.224, 0.458) (multiplicity 4)
Tb (0.152, 0.258, 0.004) (multiplicity 8)
Tb (0.159, 0.467, 0.474) (multiplicity 8)
Sb (0.000, 0.389, 0.772) (multiplicity 4)
Sb (0.175, 0.101, 0.683) (multiplicity 8)
C (0.000, 0.187, 0.144) (multiplicity 4)